Entry 1:
This record from Alexandria describes a relaxed AcAsAu crystal. The functional is PBE.

Cell lengths 4.988, 4.988, 4.988 Å; angles 60.00, 60.00, 60.00 degrees
Atoms (fractional coordinates):
Ac 0.500 0.500 0.500
As 0.000 0.000 0.000
Au 0.250 0.250 0.250

Results
- Distance to the lowest polymorph of the same formula: 0.2404 eV/atom
- Space-group type: F-43m (216)
- ΔH_f (0 K): -70 kJ per mole of atoms
- Final energy: -4.737 eV/atom

=====

Entry 2:
This record from Alexandria describes a relaxed Sm3ThNi2 crystal. The functional is PBE.

Cell lengths 3.910, 8.540, 9.977 Å; angles 77.23, 78.70, 76.77 degrees
Atoms (fractional coordinates):
Sm 0.846 0.058 0.250
Sm 0.154 0.942 0.750
Ni 0.767 0.409 0.056
Sm 0.421 0.717 0.442
Sm 0.421 0.217 0.941
Sm 0.579 0.283 0.558
Th 0.842 0.562 0.755
Th 0.158 0.438 0.245
Ni 0.231 0.091 0.447
Sm 0.579 0.783 0.059
Ni 0.769 0.909 0.553
Ni 0.233 0.591 0.944

Results
- Space-group type: C2/m (12)
- ΔH_f (0 K): -22 kJ per mole of atoms
- Final energy: -5.755 eV/atom

=====

Entry 3:
This record from Alexandria describes a relaxed TlSnAuF2 crystal. The functional is PBE.

Cell lengths 4.515, 4.515, 5.401 Å; angles 90.00, 90.00, 90.00 degrees
Atoms (fractional coordinates):
F 0.000 0.500 0.000
F 0.500 0.000 0.000
Tl 0.500 0.500 0.500
Sn 0.000 0.000 0.000
Au 0.000 0.000 0.500

Results
- Space-group type: P4/mmm (123)
- Final energy: -4.020 eV/atom

=====

Entry 4:
This record from Alexandria describes a relaxed TiNbNi crystal. The functional is PBE.

Cell lengths 5.365, 4.270, 9.136 Å; angles 90.00, 119.21, 90.00 degrees
Atoms (fractional coordinates):
Nb 0.045 0.500 0.390
Ni 0.212 0.000 0.235
Ti 0.702 0.000 0.221
Ti 0.702 0.500 0.721
Nb 0.337 0.000 0.573
Nb 0.045 0.000 0.890
Nb 0.337 0.500 0.073
Ni 0.212 0.500 0.735
Ti 0.805 0.500 0.035
Ni 0.541 0.000 0.902
Ti 0.805 0.000 0.535
Ni 0.541 0.500 0.402

Results
- Distance to the lowest polymorph of the same formula: 0.1506 eV/atom
- Space-group type: Cm (8)
- ΔH_f (0 K): -10 kJ per mole of atoms
- Final energy: -8.014 eV/atom

=====

Entry 5:
This record from Alexandria describes a relaxed Th5Sc4 crystal. The functional is PBE.

Cell lengths 4.846, 7.703, 7.703 Å; angles 84.29, 71.67, 71.67 degrees
Atoms (fractional coordinates):
Th 0.000 0.996 0.004
Th 0.671 0.996 0.663
Th 0.329 0.337 0.004
Sc 0.330 0.007 0.333
Sc 0.330 0.667 0.674
Th 0.000 0.667 0.333
Sc 0.670 0.667 0.993
Sc 0.670 0.326 0.333
Th 0.000 0.337 0.663

Results
- Space-group type: I4/mmm (139)
- ΔH_f (0 K): 4 kJ per mole of atoms
- Final energy: -6.890 eV/atom

=====

Entry 6:
This record from Alexandria describes a relaxed Li3Ti2MoN6 crystal. The functional is PBE.

Cell lengths 5.207, 5.207, 5.277 Å; angles 99.44, 99.44, 119.99 degrees
Atoms (fractional coordinates):
N 0.743 0.743 0.220
Mo 0.000 0.000 0.000
Li 0.500 0.500 0.500
N 0.404 0.073 0.220
Ti 0.333 0.667 0.000
Li 0.168 0.832 0.500
N 0.073 0.404 0.220
N 0.596 0.927 0.780
N 0.257 0.257 0.780
N 0.927 0.596 0.780
Li 0.832 0.168 0.500
Ti 0.667 0.333 0.000

Results
- Space-group type: C2/m (12)
- Final energy: -7.669 eV/atom